BiICl3 | PBE-GGA | optimized geometry

Properties
Uncorrected energy ... -9.38 eV/cell
Magnetization ... 2.2 μB/cell
D(E_F) ... 1.48 states/eV/atom
Formation energy from raw total energies ... 1.6 eV/f.u.

Cell: 5.5920 5.5920 5.5920 Å, 90.00 90.00 90.00°
Closest atoms and distances in Å follow each position.
Fractional coordinates of all 5 atoms:
Bi1 0.0000 0.0000 0.0000  12 Cl 3.95
I1 0.5000 0.5000 0.5000  6 Cl 2.80
Cl1 0.0000 0.5000 0.5000  2 I 2.80
Cl2 0.5000 0.0000 0.5000  2 I 2.80
Cl3 0.5000 0.5000 0.0000  2 I 2.80